Below is a geometry-optimized Zr2RhCl structure, with properties calculated at the PBE-GGA level.

Cell and atoms, written as POSCAR:
```
Zr2RhCl
1.0
8.9912 0.0284 0.0168
8.4346 3.1145 0.0168
8.4346 1.5213 2.7178
Zr Cl Rh
2 1 1
direct
0.0014 0.0014 0.0014
0.4986 0.4986 0.4986
0.2500 0.2500 0.2500
0.7500 0.7500 0.7500
```

Properties
* total moment: 0.00 μB/f.u.
* total energy: -7.090 eV/atom
* volume: 75.0 Å³/f.u.
* raw formation energy: -0.516 eV/atom
* symmetry: R-3m, No. 166

=====

Below is a geometry-optimized PmPd6Pt6 structure, with properties calculated at the PBE-GGA level.

Cell and atoms, written as POSCAR:
```
PmPd6Pt6
1.0
-0.9957 5.0567 -1.3652
-3.7560 3.3753 4.8304
4.9150 4.4006 2.3044
Pd Pt Pm
6 6 1
direct
0.3478 0.6522 0.6522
0.7028 0.7972 0.7972
0.0000 0.3462 0.6538
0.6522 0.3478 0.3478
0.2972 0.2028 0.2028
0.0000 0.6538 0.3462
0.5000 0.5000 0.0000
0.5000 0.2273 0.7727
0.5000 0.0000 0.5000
0.0000 0.5000 0.0000
0.5000 0.7727 0.2273
0.0000 0.0000 0.5000
0.0000 0.0000 0.0000
```

Properties
* total moment: 0.00 μB/f.u.
* total energy: -5.861 eV/atom
* volume: 222.5 Å³/f.u.
* symmetry: Immm, No. 71
* ΔH_f (0 K): -0.311 eV/atom

=====

Below is a geometry-optimized BaZrNi2 structure, with properties calculated at the PBE-GGA level.

Cell and atoms, written as POSCAR:
```
BaZrNi2
1.0
-1.9675 3.6816 -2.2541
-3.9216 2.0256 1.7390
0.2167 4.3391 1.9056
Zr Ni Ba
1 2 1
direct
0.7500 0.7500 0.7500
0.0000 0.0000 0.0000
0.2500 0.2500 0.2500
0.5000 0.5000 0.5000
```

Properties
* total moment: 0.00 μB/f.u.
* total energy: -4.960 eV/atom
* volume: 75.5 Å³/f.u.
* symmetry: F-43m, No. 216
* ΔH_f (0 K): 0.548 eV/atom

=====

Q: Among the records above, which one has the highest total energy?
A: BaZrNi2

=====

Q: Number 2 is which compound?
A: PmPd6Pt6